BiPdS2: optimized geometry, PBE.

a = 3.759 Å, b = 3.759 Å, c = 6.997 Å
α = 74.42°, β = 74.42°, γ = 60.00°
Sites, in units of the cell vectors:
S  0.068  0.068  0.797
S  0.268  0.268  0.197
Bi  0.500  0.500  0.501
Pd  0.665  0.665  0.005

Raw total energy ... -4.47 eV per atom
Total magnetization ... 0.00 μB per atom
Density ... 7.74 g/cm³